[1]
{
  "formula": "Sm2Tm5Co2",
  "functional": "GGA-PBE",
  "state": "relaxed",
  "n_ef_per_ev_cell": 19.67,
  "formation_enthalpy_0k_ev_per_atom": -0.1034,
  "space_group": "No. 64",
  "vol_a3_per_fu": 236.5,
  "lattice_angstrom": [[6.550, 0.000, 2.377], [0.000, 6.936, 0.000], [-0.065, 0.000, 10.389]],
  "species": ["Tm", "Tm", "Tm", "Tm", "Tm", "Tm", "Tm", "Tm", "Tm", "Tm", "Sm", "Sm", "Sm", "Sm", "Co", "Co", "Co", "Co"],
  "frac_coords": [[0.215, 0.177, 0.208], [0.924, 0.323, 0.792], [0.715, 0.323, 0.208], [0.000, 0.000, 0.000], [0.500, 0.500, 0.000], [0.785, 0.823, 0.792], [0.576, 0.823, 0.208], [0.285, 0.677, 0.792], [0.424, 0.177, 0.792], [0.076, 0.677, 0.208], [0.731, 0.500, 0.538], [0.769, 0.000, 0.462], [0.269, 0.500, 0.462], [0.231, 0.000, 0.538], [0.386, 0.888, 0.000], [0.886, 0.612, 0.000], [0.614, 0.112, 0.000], [0.114, 0.388, 0.000]]
}

***

[2]
{
  "formula": "SmTm3Co2",
  "functional": "GGA-PBE",
  "state": "relaxed",
  "n_ef_per_ev_cell": 14.77,
  "formation_enthalpy_0k_ev_per_atom": -0.1594,
  "space_group": "No. 12",
  "vol_a3_per_fu": 144.7,
  "polymorph_energy_ev_per_atom": 0.000,
  "lattice_angstrom": [[-2.469, 2.562, 1.117], [-6.953, -4.473, 1.115], [0.116, -1.426, 9.752]],
  "species": ["Co", "Co", "Co", "Co", "Tm", "Tm", "Tm", "Tm", "Tm", "Tm", "Sm", "Sm"],
  "frac_coords": [[0.768, 0.918, 0.547], [0.232, 0.082, 0.453], [0.235, 0.580, 0.950], [0.765, 0.420, 0.050], [0.415, 0.736, 0.435], [0.842, 0.069, 0.247], [0.584, 0.778, 0.054], [0.585, 0.264, 0.565], [0.158, 0.931, 0.753], [0.416, 0.222, 0.946], [0.156, 0.431, 0.257], [0.844, 0.569, 0.743]]
}

***

[3]
{
  "formula": "SmTm2Co9",
  "functional": "GGA-PBE",
  "state": "relaxed",
  "n_ef_per_ev_cell": 16.62,
  "formation_enthalpy_0k_ev_per_atom": -0.1869,
  "space_group": "No. 166",
  "vol_a3_per_fu": 173.6,
  "lattice_angstrom": [[-3.849, -2.827, -1.446], [-0.450, -1.344, -4.784], [2.893, -8.024, -0.621]],
  "species": ["Tm", "Tm", "Co", "Co", "Co", "Co", "Co", "Co", "Co", "Co", "Co", "Sm"],
  "frac_coords": [[0.140, 0.140, 0.579], [0.860, 0.860, 0.421], [0.078, 0.585, 0.752], [0.665, 0.665, 0.006], [0.335, 0.335, 0.994], [0.415, 0.415, 0.248], [0.585, 0.585, 0.752], [0.922, 0.415, 0.248], [0.415, 0.922, 0.248], [0.500, 0.500, 0.500], [0.585, 0.078, 0.752], [0.000, 0.000, 0.000]]
}

***

[4]
{
  "formula": "SmTm6Co2",
  "functional": "GGA-PBE",
  "state": "relaxed",
  "n_ef_per_ev_cell": 20.74,
  "formation_enthalpy_0k_ev_per_atom": -0.0762,
  "space_group": "No. 71",
  "vol_a3_per_fu": 228.3,
  "lattice_angstrom": [[7.956, 0.421, -2.681], [-4.411, 6.810, -2.198], [-0.091, -0.421, 8.395]],
  "species": ["Tm", "Tm", "Tm", "Tm", "Tm", "Tm", "Tm", "Tm", "Tm", "Tm", "Tm", "Tm", "Co", "Co", "Co", "Co", "Sm", "Sm"],
  "frac_coords": [[0.685, 0.366, 0.680], [0.899, 0.712, 0.186], [0.315, 0.634, 0.320], [0.474, 0.288, 0.186], [0.101, 0.288, 0.814], [0.685, 0.005, 0.320], [0.315, 0.995, 0.680], [0.782, 0.241, 0.022], [0.218, 0.759, 0.978], [0.526, 0.712, 0.814], [0.218, 0.241, 0.459], [0.782, 0.759, 0.541], [0.500, 0.387, 0.887], [0.682, 0.000, 0.682], [0.500, 0.613, 0.113], [0.318, 0.000, 0.318], [0.000, 0.500, 0.500], [0.000, 0.000, 0.000]]
}

***

[5]
{
  "formula": "SmTm12Co5",
  "functional": "GGA-PBE",
  "state": "relaxed",
  "n_ef_per_ev_cell": 16.93,
  "formation_enthalpy_0k_ev_per_atom": -0.1520,
  "space_group": "No. 71",
  "vol_a3_per_fu": 431.5,
  "lattice_angstrom": [[-7.265, 3.882, -0.497], [-1.020, -7.978, 1.846], [4.679, 3.166, 6.015]],
  "species": ["Co", "Co", "Co", "Co", "Co", "Tm", "Tm", "Tm", "Tm", "Tm", "Tm", "Tm", "Tm", "Tm", "Tm", "Tm", "Tm", "Sm"],
  "frac_coords": [[0.500, 0.112, 0.612], [0.375, 0.375, 0.000], [0.500, 0.888, 0.388], [0.000, 0.000, 0.000], [0.625, 0.625, 0.000], [0.530, 0.818, 0.712], [0.894, 0.182, 0.712], [0.688, 0.314, 0.002], [0.688, 0.686, 0.374], [0.106, 0.818, 0.288], [0.191, 0.986, 0.795], [0.191, 0.397, 0.205], [0.470, 0.182, 0.288], [0.312, 0.314, 0.626], [0.809, 0.603, 0.795], [0.312, 0.686, 0.998], [0.809, 0.014, 0.205], [0.000, 0.500, 0.500]]
}

***

[6]
{
  "formula": "Sm2TmCo",
  "functional": "GGA-PBE",
  "state": "relaxed",
  "n_ef_per_ev_cell": 5.19,
  "formation_enthalpy_0k_ev_per_atom": 0.0421,
  "space_group": "No. 123",
  "vol_a3_per_fu": 106.2,
  "polymorph_energy_ev_per_atom": 0.165,
  "lattice_angstrom": [[3.488, 0.000, 0.000], [0.000, 3.488, 0.000], [0.000, 0.000, 8.724]],
  "species": ["Tm", "Sm", "Sm", "Co"],
  "frac_coords": [[0.500, 0.500, 0.500], [0.000, 0.000, 0.191], [0.000, 0.000, 0.809], [0.500, 0.500, 0.000]]
}

***

[7]
{
  "formula": "SmTm12Co6",
  "functional": "GGA-PBE",
  "state": "relaxed",
  "n_ef_per_ev_cell": 15.47,
  "formation_enthalpy_0k_ev_per_atom": -0.1624,
  "space_group": "No. 204",
  "vol_a3_per_fu": 448.0,
  "lattice_angstrom": [[1.426, 1.044, -8.160], [-3.615, -7.418, 1.267], [-5.047, 6.060, 2.741]],
  "species": ["Co", "Co", "Co", "Co", "Co", "Co", "Tm", "Tm", "Tm", "Tm", "Tm", "Tm", "Tm", "Tm", "Tm", "Tm", "Tm", "Tm", "Sm"],
  "frac_coords": [[0.614, 0.500, 0.114], [0.386, 0.500, 0.886], [0.886, 0.386, 0.500], [0.500, 0.886, 0.386], [0.114, 0.614, 0.500], [0.500, 0.114, 0.614], [0.885, 0.193, 0.691], [0.193, 0.691, 0.885], [0.115, 0.807, 0.309], [0.309, 0.115, 0.807], [0.807, 0.309, 0.115], [0.807, 0.691, 0.498], [0.691, 0.885, 0.193], [0.498, 0.807, 0.691], [0.309, 0.502, 0.193], [0.502, 0.193, 0.309], [0.691, 0.498, 0.807], [0.193, 0.309, 0.502], [0.000, 0.000, 0.000]]
}

***

[8]
{
  "formula": "Sm3TmCo2",
  "functional": "GGA-PBE",
  "state": "relaxed",
  "n_ef_per_ev_cell": 14.86,
  "formation_enthalpy_0k_ev_per_atom": -0.1160,
  "space_group": "No. 12",
  "vol_a3_per_fu": 152.2,
  "lattice_angstrom": [[-2.417, 2.414, 1.608], [-6.404, -5.112, 2.482], [2.060, -1.426, 9.671]],
  "species": ["Sm", "Sm", "Sm", "Sm", "Sm", "Sm", "Co", "Co", "Co", "Co", "Tm", "Tm"],
  "frac_coords": [[0.160, 0.927, 0.752], [0.583, 0.769, 0.064], [0.417, 0.231, 0.936], [0.583, 0.282, 0.553], [0.417, 0.718, 0.447], [0.840, 0.073, 0.248], [0.768, 0.419, 0.045], [0.235, 0.080, 0.451], [0.765, 0.920, 0.549], [0.232, 0.581, 0.955], [0.837, 0.572, 0.753], [0.163, 0.428, 0.247]]
}